DFT (PBE-GGA) results for crystalline TlInCl3 at its relaxed geometry.

Values from the calculation:
* M_tot: 0.00 μB per formula unit
* DFT total energy: -15.79 eV/f.u.
* N(E_F): 0.00 states/eV/cell
* energy relative to the elements, uncorrected: -1030 meV per atom

Structure (POSCAR):
```
TlInCl3
1.0
7.7141 0.0436 0.0393
3.8191 6.7104 0.0789
3.8088 2.1913 6.5078
Tl Cl In
2 6 2
direct
0.0305 0.0325 0.8926
0.5233 0.5262 0.4129
0.0486 0.8738 0.5582
0.9429 0.4206 0.0173
0.5061 0.0504 0.5577
0.4184 0.6073 0.0163
0.8722 0.5080 0.5575
0.6049 0.9447 0.0174
0.7376 0.7392 0.7718
0.2455 0.2473 0.2485
```


DFT (PBE-GGA) results for crystalline SrCa2TmHg4 at its relaxed geometry.

Values from the calculation:
* M_tot: 0.00 μB per formula unit
* DFT total energy: -15.48 eV/f.u.
* N(E_F): 5.68 states/eV/cell
* formation energy: -0.515 eV per atom

Structure (POSCAR):
```
SrCa2TmHg4
1.0
-0.6144 4.1675 -3.3162
-3.6618 3.7650 1.0763
4.6149 7.2015 3.8616
Sr Ca Tm Hg
1 2 1 4
direct
0.0000 0.0000 0.0000
0.2489 0.2489 0.2532
0.7511 0.7511 0.7468
0.5000 0.5000 0.5000
0.3806 0.3806 0.8582
0.8709 0.8709 0.3872
0.1291 0.1291 0.6128
0.6194 0.6194 0.1418
```


DFT (PBE-GGA) results for crystalline TaV2Os at its relaxed geometry.

Values from the calculation:
* M_tot: 0.00 μB per formula unit
* ΔE to the lowest computed polymorph: 0.039 eV/atom
* DFT total energy: -42.39 eV/f.u.
* N(E_F): 2.56 states/eV/cell
* formation energy: -0.269 eV per atom

Structure (POSCAR):
```
TaV2Os
1.0
-0.0845 4.2377 0.9815
-2.3757 1.4073 3.3622
1.9682 1.4380 3.6037
V Os Ta
2 1 1
direct
0.2500 0.2500 0.2500
0.7500 0.7500 0.7500
0.0000 0.0000 0.0000
0.5000 0.5000 0.5000
```


DFT (PBE-GGA) results for crystalline ZrZn at its relaxed geometry.

Values from the calculation:
* M_tot: 0.00 μB per formula unit
* DFT total energy: -10.24 eV/f.u.
* N(E_F): 4.28 states/eV/cell
* formation energy: -0.207 eV per atom

Structure (POSCAR):
```
ZrZn
1.0
5.6490 0.0189 -0.0068
2.6247 5.0097 -0.0075
-3.5128 -3.5409 2.6661
Zr Zn
2 2
direct
0.6734 0.2599 0.4135
0.4099 0.4901 0.9198
0.9418 0.0210 0.9208
0.1416 0.7290 0.4126
```


DFT (PBE-GGA) results for crystalline Rb2CdRuO6 at its relaxed geometry.

Values from the calculation:
* M_tot: 0.55 μB per formula unit
* DFT total energy: -50.57 eV/f.u.
* N(E_F): 11.09 states/eV/cell
* energy relative to the elements, uncorrected: -869 meV per atom

Structure (POSCAR):
```
Rb2CdRuO6
1.0
5.7743 0.0000 0.0000
0.0000 6.2856 0.0000
0.0000 -3.1428 5.4435
Rb Ru O Cd
2 1 6 1
direct
0.8323 0.6667 0.3333
0.1677 0.3333 0.6667
0.0000 0.0000 0.0000
0.8047 0.1406 0.2812
0.1953 0.8594 0.7188
0.8047 0.7188 0.8594
0.1953 0.8594 0.1406
0.8047 0.1406 0.8594
0.1953 0.2812 0.1406
0.5000 0.0000 0.0000
```


DFT (PBE-GGA) results for crystalline BeRu2 at its relaxed geometry.

Values from the calculation:
* M_tot: 0.17 μB per formula unit
* DFT total energy: -21.96 eV/f.u.
* N(E_F): 6.42 states/eV/cell
* formation energy: 0.105 eV per atom

Structure (POSCAR):
```
BeRu2
1.0
2.0871 -3.6150 0.0000
2.0871 3.6150 0.0000
0.0000 0.0000 4.8915
Ru Be
4 2
direct
0.3333 0.6667 0.7500
0.0000 0.0000 0.0000
0.6667 0.3333 0.2500
0.0000 0.0000 0.5000
0.6667 0.3333 0.7500
0.3333 0.6667 0.2500
```


DFT (PBE-GGA) results for crystalline Nb3CrRh at its relaxed geometry.

Values from the calculation:
* M_tot: 0.00 μB per formula unit
* ΔE to the lowest computed polymorph: 0.000 eV/atom
* DFT total energy: -42.84 eV/f.u.
* N(E_F): 6.69 states/eV/cell
* formation energy: 0.869 eV per atom

Structure (POSCAR):
```
Nb3CrRh
1.0
-1.2639 -2.0350 -3.8576
-1.3452 -3.6386 2.3602
-4.1488 1.7997 0.4099
Nb Cr Rh
3 1 1
direct
0.0000 0.5000 0.0000
0.5000 0.0000 0.0000
0.0000 0.0000 0.5000
0.0000 0.0000 0.0000
0.5000 0.5000 0.5000
```


DFT (PBE-GGA) results for crystalline Sr2FeCo at its relaxed geometry.

Values from the calculation:
* M_tot: 3.64 μB per formula unit
* ΔE to the lowest computed polymorph: 0.771 eV/atom
* DFT total energy: -15.06 eV/f.u.
* N(E_F): 5.99 states/eV/cell
* formation energy: 0.968 eV per atom

Structure (POSCAR):
```
Sr2FeCo
1.0
-2.4083 2.9559 8.3471
-5.7812 2.2560 6.7601
-3.8018 -0.5715 8.3325
Co Sr Fe
1 2 1
direct
0.2500 0.2500 0.2500
0.9932 0.9932 0.9932
0.5068 0.5068 0.5068
0.7500 0.7500 0.7500
```


DFT (PBE-GGA) results for crystalline KTiRh3 at its relaxed geometry.

Values from the calculation:
* M_tot: 0.44 μB per formula unit
* ΔE to the lowest computed polymorph: 0.000 eV/atom
* DFT total energy: -28.62 eV/f.u.
* N(E_F): 5.16 states/eV/cell
* formation energy: 0.485 eV per atom

Structure (POSCAR):
```
KTiRh3
1.0
4.7044 0.0000 0.0000
0.0000 4.7044 0.0000
0.0000 0.0000 4.7044
K Rh Ti
1 3 1
direct
0.5000 0.5000 0.5000
0.0000 0.5000 0.0000
0.0000 0.0000 0.5000
0.5000 0.0000 0.0000
0.0000 0.0000 0.0000
```


DFT (PBE-GGA) results for crystalline Pr2NpP3Rh4 at its relaxed geometry.

Values from the calculation:
* M_tot: 3.88 μB per formula unit
* DFT total energy: -77.44 eV/f.u.
* N(E_F): 9.18 states/eV/cell
* formation energy: -0.930 eV per atom

Structure (POSCAR):
```
Pr2NpP3Rh4
1.0
4.0776 0.0000 0.0000
0.0000 4.0776 0.0000
0.0000 0.0000 11.0395
Rh P Pr Np
4 3 2 1
direct
0.5000 0.0000 0.6595
0.0000 0.0000 0.0000
0.5000 0.5000 0.0000
0.0000 0.5000 0.3405
0.0000 0.5000 0.1252
0.0000 0.0000 0.5000
0.5000 0.0000 0.8748
0.0000 0.5000 0.7749
0.5000 0.0000 0.2251
0.5000 0.5000 0.5000
```


DFT (PBE-GGA) results for crystalline Pr3CdHg at its relaxed geometry.

Values from the calculation:
* M_tot: 0.53 μB per formula unit
* ΔE to the lowest computed polymorph: 0.000 eV/atom
* DFT total energy: -17.08 eV/f.u.
* N(E_F): 12.10 states/eV/cell
* formation energy: -0.305 eV per atom

Structure (POSCAR):
```
Pr3CdHg
1.0
-0.8313 -5.3830 -0.5152
5.3307 -0.7312 -0.9609
1.2216 -3.9018 9.7459
Pr Hg Cd
6 2 2
direct
0.8867 0.7500 0.8750
0.3849 0.2500 0.8786
0.7617 0.2500 0.1250
0.5739 0.2500 0.5006
0.2635 0.7500 0.1214
0.0745 0.7500 0.4994
0.6714 0.7500 0.3055
0.9769 0.2500 0.6945
0.1714 0.2500 0.3055
0.4769 0.7500 0.6945
```


DFT (PBE-GGA) results for crystalline ErMgScSn at its relaxed geometry.

Values from the calculation:
* M_tot: 0.00 μB per formula unit
* DFT total energy: -17.93 eV/f.u.
* N(E_F): 3.89 states/eV/cell
* formation energy: -0.359 eV per atom

Structure (POSCAR):
```
ErMgScSn
1.0
-2.8234 -3.1862 2.8640
-1.2076 -4.6591 -1.7777
2.1491 -4.1729 2.0723
Sc Er Mg Sn
1 1 1 1
direct
0.5000 0.5000 0.5000
0.0000 0.0000 0.0000
0.7500 0.7500 0.7500
0.2500 0.2500 0.2500
```


DFT (PBE-GGA) results for crystalline RbUTiO6 at its relaxed geometry.

Values from the calculation:
* M_tot: 1.03 μB per formula unit
* DFT total energy: -73.53 eV/f.u.
* N(E_F): 6.06 states/eV/cell
* energy relative to the elements, uncorrected: -2626 meV per atom

Structure (POSCAR):
```
RbUTiO6
1.0
-2.2238 -4.9542 -0.8059
0.9452 -4.0489 3.5850
-5.0512 1.7326 3.2889
O U Ti Rb
6 1 1 1
direct
0.3943 0.6166 0.3250
0.6166 0.3944 0.6750
0.6168 0.9888 0.3250
0.3941 0.9891 0.6749
0.9888 0.6168 0.6750
0.9890 0.3941 0.3251
0.3334 0.3334 0.5000
0.6667 0.6667 0.5000
0.0000 0.0000 0.0000
```


DFT (PBE-GGA) results for crystalline Li5Pd3 at its relaxed geometry.

Values from the calculation:
* M_tot: 0.00 μB per formula unit
* DFT total energy: -28.20 eV/f.u.
* N(E_F): 1.70 states/eV/cell
* formation energy: -0.381 eV per atom

Structure (POSCAR):
```
Li5Pd3
1.0
-2.8144 -0.6639 -3.1989
2.5777 -4.3403 -1.3670
-3.7203 -1.1114 3.5037
Pd Li
3 5
direct
0.0000 0.5000 0.5000
0.5000 0.7506 0.2494
0.5000 0.2494 0.7506
0.5000 0.2614 0.2614
0.0000 0.5000 0.0000
0.0000 0.0000 0.0000
0.0000 0.0000 0.5000
0.5000 0.7386 0.7386
```


DFT (PBE-GGA) results for crystalline HgGe2Os2 at its relaxed geometry.

Values from the calculation:
* M_tot: 0.00 μB per formula unit
* DFT total energy: -30.52 eV/f.u.
* N(E_F): 4.92 states/eV/cell
* formation energy: 0.295 eV per atom

Structure (POSCAR):
```
HgGe2Os2
1.0
-5.2023 5.0487 -1.2153
-5.0828 -4.5981 2.6557
0.4351 1.1124 2.7586
Ge Hg Os
4 2 4
direct
0.1466 0.6466 0.5000
0.3534 0.1466 0.5000
0.6466 0.8534 0.5000
0.8534 0.3534 0.5000
0.5000 0.5000 0.0000
0.0000 0.0000 0.0000
0.6476 0.1476 0.0000
0.3524 0.8524 0.0000
0.8524 0.6476 0.0000
0.1476 0.3524 0.0000
```


DFT (PBE-GGA) results for crystalline Ce2SmHoTe5 at its relaxed geometry.

Values from the calculation:
* M_tot: 3.43 μB per formula unit
* DFT total energy: -44.47 eV/f.u.
* N(E_F): 19.55 states/eV/cell
* energy relative to the elements, uncorrected: -844 meV per atom

Structure (POSCAR):
```
Ce2SmHoTe5
1.0
-3.5293 -3.8458 -1.7278
3.8105 -1.9455 -3.4535
3.8375 -7.2620 8.3253
Te Ho Ce Sm
5 1 2 1
direct
0.5000 0.5000 0.0000
0.0000 0.0000 0.7521
0.5000 0.0000 0.5000
0.0000 0.0000 0.2479
0.0000 0.5000 0.5000
0.0000 0.0000 0.5000
0.5000 0.5000 0.3223
0.5000 0.5000 0.6777
0.0000 0.0000 0.0000
```


DFT (PBE-GGA) results for crystalline ScFeH2Pd at its relaxed geometry.

Values from the calculation:
* M_tot: 2.51 μB per formula unit
* DFT total energy: -26.09 eV/f.u.
* N(E_F): 4.13 states/eV/cell

Structure (POSCAR):
```
ScFeH2Pd
1.0
3.6101 0.0000 0.0000
0.0000 4.9768 0.0000
0.0000 0.0000 3.6101
H Fe Sc Pd
2 1 1 1
direct
0.5000 0.0000 0.0000
0.0000 0.0000 0.5000
0.0000 0.0000 0.0000
0.5000 0.5000 0.5000
0.0000 0.5000 0.0000
```


DFT (PBE-GGA) results for crystalline Ba6HAu2 at its relaxed geometry.

Values from the calculation:
* M_tot: 0.00 μB per formula unit
* ΔE to the lowest computed polymorph: 0.000 eV/atom
* DFT total energy: -25.07 eV/f.u.
* N(E_F): 14.16 states/eV/cell

Structure (POSCAR):
```
Ba6HAu2
1.0
-2.6691 6.8554 1.2264
-6.6917 -3.1377 2.9761
5.6434 -0.0604 12.6193
Ba Au H
12 4 2
direct
0.2573 0.6569 0.1584
0.7360 0.8243 0.0000
0.7573 0.8431 0.3416
0.7424 0.3433 0.1585
0.2640 0.1757 0.0000
0.2360 0.6757 0.5000
0.2424 0.1567 0.3415
0.7576 0.8433 0.6585
0.2576 0.6567 0.8415
0.7427 0.3431 0.8416
0.2427 0.1569 0.6584
0.7640 0.3243 0.5000
0.0000 0.5000 0.3281
0.5000 0.0000 0.1719
0.5000 0.0000 0.8281
0.0000 0.5000 0.6719
0.0000 0.0000 0.5000
0.5000 0.5000 0.0000
```


DFT (PBE-GGA) results for crystalline MnTcIr at its relaxed geometry.

Values from the calculation:
* M_tot: 1.44 μB per formula unit
* ΔE to the lowest computed polymorph: 0.049 eV/atom
* DFT total energy: -28.48 eV/f.u.
* N(E_F): 3.21 states/eV/cell
* formation energy: -0.027 eV per atom

Structure (POSCAR):
```
MnTcIr
1.0
4.2072 0.0000 0.0000
-2.1036 3.6435 0.0000
0.0000 0.0000 2.6706
Tc Ir Mn
1 1 1
direct
0.6667 0.3333 0.5000
0.0000 0.0000 0.0001
0.3333 0.6667 0.5000
```


DFT (PBE-GGA) results for crystalline LiPb at its relaxed geometry.

Values from the calculation:
* M_tot: 0.00 μB per formula unit
* DFT total energy: -6.02 eV/f.u.
* N(E_F): 2.12 states/eV/cell
* formation energy: -0.201 eV per atom

Structure (POSCAR):
```
LiPb
1.0
-1.2855 -2.1357 4.7935
2.8634 -0.8869 4.4950
-1.2829 5.3354 4.4894
Pb Li
3 3
direct
0.3007 0.3007 0.8780
0.9872 0.9872 0.5308
0.9589 0.9589 0.0910
0.6378 0.6378 0.2166
0.3104 0.3104 0.4053
0.6383 0.6383 0.7117
```